[1]
The following is a PBE-GGA calculation of a relaxed CsAgP3 crystal, from the Alexandria database.

Symmetry: Pm-3m, No. 221

```
CsAgP3
1.0
5.517 0.000 0.000
0.000 5.517 0.000
0.000 0.000 5.517
Cs Ag P
1 1 3
Direct
0.000 0.000 0.000 Cs
0.500 0.500 0.500 Ag
0.000 0.000 0.500 P
0.000 0.500 0.000 P
0.500 0.000 0.000 P
```



[2]
The following is a PBE-GGA calculation of a relaxed Cs3AgP crystal, from the Alexandria database.

Symmetry: Pm-3m, No. 221

```
Cs3AgP
1.0
6.828 0.000 0.000
0.000 6.828 0.000
0.000 0.000 6.828
Cs Ag P
3 1 1
Direct
0.000 0.000 0.500 Cs
0.000 0.500 0.000 Cs
0.500 0.000 0.000 Cs
0.500 0.500 0.500 Ag
0.000 0.000 0.000 P
```



Let's list formation energy in order: 2160; 71 meV/atom.
Let's list electronic total energy in order: -9.133; -10.468 eV/cell.
Let's list magnetization in order: 0.3307; 0.2053 μB/atom.